[1]
5
Lattice="-3.0330 1.8189 -3.5114 3.0817 -1.6860 -3.5352 -2.6832 -4.6805 -0.1068" Properties=species:S:1:pos:R:3 comment="BaMnZnRh2 | Alexandria via LeMat-Bulk | meta-GGA SCAN | PBEsol geometry" total_energy_ev_per_fu=-130.557 magmom_total_mub_per_fu=5.02 formation_energy_ev_per_fu=8.3 crystal_system=tetragonal dos_ef_per_ev_cell=3.6 pbc="T T T"
Zn -1.3416 -2.3402 -0.0534
Mn -1.3173 -2.2738 -3.5767
Rh 1.5408 -0.8430 -1.7676
Rh -1.5165 0.9094 -1.7557
Ba 0.0000 0.0000 0.0000


[2]
12
Lattice="-1.7414 -3.7742 -1.5088 4.4950 -3.2347 2.9035 -5.1331 -0.5592 7.3236" Properties=species:S:1:pos:R:3 comment="ZrHg2 | Alexandria via LeMat-Bulk | meta-GGA SCAN | PBEsol geometry" total_energy_ev_per_fu=-167.739 magmom_total_mub_per_fu=0.00 formation_energy_ev_per_fu=-0.7 crystal_system=orthorhombic dos_ef_per_ev_cell=6.7 pbc="T T T"
Hg -1.0600 -6.2018 7.0175
Hg 0.3942 -5.8364 4.4249
Hg -2.2615 -3.5382 8.2211
Hg 0.9177 -2.9848 3.1673
Hg -3.2972 -4.5833 5.5511
Hg -0.1181 -4.0300 0.4973
Hg -2.7737 -1.7318 4.2935
Hg -1.3195 -1.3663 1.7009
Zr 2.0982 -5.6447 1.9785
Zr -0.5429 -3.3570 5.7842
Zr -1.8367 -4.2111 2.9342
Zr -4.4777 -1.9235 6.7398


[3]
4
Lattice="-2.2037 -0.3156 -1.8905 1.1948 -2.4787 -0.9790 -3.0884 -3.1161 4.1203" Properties=species:S:1:pos:R:3 comment="Ti2CoNi | Alexandria via LeMat-Bulk | meta-GGA SCAN | PBEsol geometry" total_energy_ev_per_fu=-67.199 magmom_total_mub_per_fu=0.84 formation_energy_ev_per_fu=-1.7 crystal_system=tetragonal dos_ef_per_ev_cell=4.0 pbc="T T T"
Ni -1.5442 -1.5580 2.0602
Co 0.0000 0.0000 0.0000
Ti -1.2653 -2.1648 -0.4197
Ti -2.8320 -3.7456 1.6706


[4]
104
Lattice="7.6901 0.0000 0.0000 0.0000 11.6680 -0.0897 0.0000 -0.6764 11.6907" Properties=species:S:1:pos:R:3 comment="La2MgNi2H8 | Alexandria via LeMat-Bulk | meta-GGA SCAN | PBEsol geometry" total_energy_ev_per_fu=-157.965 magmom_total_mub_per_fu=0.00 crystal_system=monoclinic pbc="T T T"
La 1.3093 4.2513 6.8242
La 2.6248 10.0256 7.0932
La 5.2157 3.4751 7.6060
La 6.4552 9.2512 7.9285
La 2.6102 1.4021 9.5179
La 1.3706 7.1782 9.8404
La 6.4698 0.6277 10.3532
La 5.1543 6.4020 10.6222
La 2.5358 4.5895 0.9789
La 1.2203 10.3638 1.2478
La 6.3194 3.8133 1.7606
La 5.0799 9.5894 2.0831
La 1.2348 1.7404 3.6725
La 2.4744 7.5164 3.9950
La 5.0653 0.9660 4.5078
La 6.3808 6.7402 4.7768
Mg 0.0151 0.7851 6.8856
Mg 3.8372 6.7052 7.2164
Mg 7.6822 3.9481 10.2299
Mg 3.8601 9.8683 10.5608
Mg 3.8299 1.1233 1.0403
Mg 0.0079 7.0434 1.3711
Mg 3.8529 4.2863 4.3846
Mg 7.6750 10.2065 4.7154
Ni 2.6982 1.2626 6.2743
Ni 1.1140 7.4590 6.7650
Ni 4.9954 0.1283 7.4436
Ni 6.6730 6.2192 7.9076
Ni 2.8280 4.4341 9.5388
Ni 1.1503 10.5251 10.0028
Ni 4.9591 3.1944 10.6814
Ni 6.5432 9.3908 11.1721
Ni 1.1468 1.6008 0.4289
Ni 2.7310 7.7972 0.9196
Ni 6.5398 0.4665 1.5982
Ni 4.8621 6.5575 2.0622
Ni 1.0171 4.7723 3.6934
Ni 2.6947 10.8633 4.1574
Ni 6.5761 3.5326 4.8361
Ni 4.9919 9.7290 5.3267
H 7.1040 2.7161 6.1270
H 2.1686 6.4893 6.2246
H 4.6545 8.4996 6.3025
H 5.7100 10.9141 6.1763
H 3.5550 4.6221 6.5045
H 0.3392 10.5026 6.6395
H 0.0364 6.2642 6.7048
H 3.9493 1.3398 7.2803
H 5.5401 5.8214 6.9401
H 1.6510 1.7840 7.2942
H 1.0531 8.4934 7.9156
H 6.0961 1.1140 7.9320
H 2.8940 3.4347 8.3564
H 7.1237 4.7831 8.4461
H 3.9365 8.2384 8.6451
H 4.5339 10.8616 8.5826
H 0.6889 -0.2083 8.8638
H 0.0914 2.4150 8.8013
H 3.2787 5.8703 9.0003
H 6.7390 7.2186 9.0900
H 2.2511 9.5394 9.5144
H 4.8981 2.1600 9.5308
H 5.4961 8.8694 10.1522
H 1.6950 4.8319 10.5063
H 0.1043 9.3136 10.1661
H 3.8815 4.3892 10.7416
H 4.1843 0.1508 10.8069
H 7.4000 6.0313 10.9418
H 1.8650 -0.2608 11.2701
H 0.8095 2.1537 11.1438
H 6.0137 4.1641 11.2218
H 3.2590 7.9372 11.3193
H 4.4311 3.0543 0.2817
H 1.6764 6.8275 0.3793
H 6.8806 8.8378 0.4572
H 5.8251 11.2523 0.3310
H 0.2900 4.9603 0.6592
H 3.5058 10.8408 0.7941
H 3.8086 6.6024 0.8594
H 7.5858 1.6780 1.4349
H 5.9951 6.1596 1.0947
H 2.1940 2.1222 1.4489
H 2.7919 8.8316 2.0702
H 5.4390 1.4522 2.0866
H 0.9511 3.7730 2.5110
H 4.4114 5.1213 2.6007
H 7.5987 8.5766 2.7997
H 7.0012 11.1998 2.7373
H 3.1562 0.1299 3.0184
H 3.7536 2.7532 2.9559
H 0.5663 6.2085 3.1549
H 4.7961 7.5568 3.2447
H 1.5939 9.8776 3.6690
H 6.6370 2.4982 3.6854
H 6.0391 9.2076 4.3068
H 2.1500 5.1701 4.6609
H 3.7407 9.6518 4.3207
H 7.6537 4.7274 4.8963
H 7.3509 0.4890 4.9615
H 4.1351 6.3695 5.0965
H 1.9801 0.0775 5.4247
H 3.0355 2.4919 5.2985
H 5.5215 4.5023 5.3764
H 0.5860 8.2754 5.4740


Q: Which formula does entry 1 have?
A: BaMnZnRh2